# 1
An optimized crystal structure of Ho3Zn2Hg6, computed with GGA-PBE.

Unit cell a=4.2002 b=4.2002 c=15.5593 alpha=97.76 beta=97.76 gamma=90.00
Sites, in units of the cell vectors:
Zn1 0.6396 0.6396 0.2792
Zn2 0.3604 0.3604 0.7208
Ho1 0.8295 0.8295 0.6589
Ho2 0.0000 0.0000 0.0000
Ho3 0.1705 0.1705 0.3411
Hg1 0.2726 0.2726 0.5453
Hg2 0.4236 0.9236 0.8472
Hg3 0.9236 0.4236 0.8472
Hg4 0.7274 0.7274 0.4547
Hg5 0.0764 0.5764 0.1528
Hg6 0.5764 0.0764 0.1528

## Properties
Energy, eV/atom: -1.8221
Space-group type: No. 139
Density of states at the Fermi level, states/eV per cell: 10.491
Energy of formation, meV/atom: -177
Total moment, μB/f.u.: 0.00

***

# 2
An optimized crystal structure of U2SeS4, computed with GGA-PBE.

Unit cell a=5.4750 b=7.7803 c=7.4323 alpha=112.74 beta=90.00 gamma=90.00
Last column: magnetic moment on the atom in μB.
Sites, in units of the cell vectors:
S1 0.7500 0.7342 0.6504  -0.09
S2 0.0009 0.5712 0.2404  -0.08
S3 0.2500 0.2658 0.3496  -0.09
S4 0.9991 0.4288 0.7596  -0.08
S5 0.7500 0.9999 0.3723  -0.10
S6 0.4991 0.5712 0.2404  -0.08
S7 0.2500 0.0001 0.6277  -0.10
S8 0.5009 0.4288 0.7596  -0.08
U1 0.7500 0.7443 0.0229  1.40
U2 0.2500 0.6634 0.5995  1.46
U3 0.2500 0.2557 0.9771  1.40
U4 0.7500 0.3366 0.4005  1.46
Se1 0.7500 0.1355 0.9886  -0.09
Se2 0.2500 0.8645 0.0114  -0.09

## Properties
Energy, eV/atom: -7.2052
Space-group type: No. 11
Density of states at the Fermi level, states/eV per cell: 20.441
Total moment, μB/f.u.: 2.49

***

# 3
An optimized crystal structure of Ac4Ag2S, computed with GGA-PBE.

Unit cell a=5.8002 b=5.8002 c=8.7070 alpha=109.46 beta=109.46 gamma=90.00
Sites, in units of the cell vectors:
Ac1 0.0000 0.5000 0.0000
Ac2 0.1950 0.1950 0.3899
Ac3 0.5000 0.0000 0.0000
Ac4 0.8050 0.8050 0.6101
S1 0.0000 0.0000 0.0000
Ag1 0.3953 0.3953 0.7906
Ag2 0.6047 0.6047 0.2094

## Properties
Energy, eV/atom: -4.2786
Space-group type: No. 139
Density of states at the Fermi level, states/eV per cell: 7.532
Total moment, μB/f.u.: 0.00
ΔE to the lowest computed polymorph, meV per atom: 155

***

# 4
An optimized crystal structure of GaAsIr2, computed with GGA-PBE.

Unit cell a=4.4015 b=4.4015 c=4.4015 alpha=60.00 beta=60.00 gamma=60.00
Last column: magnetic moment on the atom in μB.
Sites, in units of the cell vectors:
Ir1 0.7500 0.7500 0.7500  0.32
Ir2 0.2500 0.2500 0.2500  0.32
Ga1 0.0000 0.0000 0.0000  0.00
As1 0.5000 0.5000 0.5000  0.02

## Properties
Energy, eV/atom: -6.3085
Space-group type: No. 225
Density of states at the Fermi level, states/eV per cell: 3.384
Energy of formation, meV/atom: 41
Total moment, μB/f.u.: 0.65
ΔE to the lowest computed polymorph, meV per atom: 0

***

# 5
An optimized crystal structure of K2MoP, computed with GGA-PBE.

Unit cell a=4.1032 b=4.1032 c=9.9125 alpha=79.58 beta=79.58 gamma=59.92
Last column: magnetic moment on the atom in μB.
Sites, in units of the cell vectors:
K1 0.7945 0.7945 0.6498  0.00
K2 0.9548 0.9548 0.1001  0.00
Mo1 0.5419 0.5419 0.3750  0.89
P1 0.2088 0.2088 0.3751  -0.06

## Properties
Energy, eV/atom: -4.4178
Space-group type: No. 8
Density of states at the Fermi level, states/eV per cell: 4.636
Energy of formation, meV/atom: 191
Total moment, μB/f.u.: 1.04

***

# 6
An optimized crystal structure of BaFe2Ru, computed with GGA-PBE.

Unit cell a=4.6862 b=4.6862 c=4.6862 alpha=120.03 beta=120.03 gamma=89.95
Last column: magnetic moment on the atom in μB.
Sites, in units of the cell vectors:
Fe1 0.2500 0.7500 0.5000  2.94
Fe2 0.0000 0.0000 0.0000  2.52
Ru1 0.5000 0.5000 0.0000  0.81
Ba1 0.7500 0.2500 0.5000  -0.12

## Properties
Energy, eV/atom: -6.0043
Space-group type: No. 216
Density of states at the Fermi level, states/eV per cell: 3.098
Energy of formation, meV/atom: 1027
Total moment, μB/f.u.: 5.97

***

Question: Which of these has the lowest energy?
Answer: U2SeS4

***

Repeat the third record exactly.
An optimized crystal structure of Ac4Ag2S, computed with GGA-PBE.

Unit cell a=5.8002 b=5.8002 c=8.7070 alpha=109.46 beta=109.46 gamma=90.00
Sites, in units of the cell vectors:
Ac1 0.0000 0.5000 0.0000
Ac2 0.1950 0.1950 0.3899
Ac3 0.5000 0.0000 0.0000
Ac4 0.8050 0.8050 0.6101
S1 0.0000 0.0000 0.0000
Ag1 0.3953 0.3953 0.7906
Ag2 0.6047 0.6047 0.2094

## Properties
Energy, eV/atom: -4.2786
Space-group type: No. 139
Density of states at the Fermi level, states/eV per cell: 7.532
Total moment, μB/f.u.: 0.00
ΔE to the lowest computed polymorph, meV per atom: 155